Entry 1:
Below is crystalline Dy6Er2Tm3Pu at its relaxed geometry, with properties calculated at the PBE level.

The space group is C2/m (No. 12) and the conventional cell measures 6.081, 10.533 and 11.591 Å, with angles of 90.00, 100.08 and 90.00 degrees. Symmetry generates all atoms from Dy at (0.247, 0.000, 0.251), Dy at (0.248, 0.165, 0.749), Er at (0.000, 0.333, 0.500), Tm at (0.000, 0.167, 0.000), Tm at (0.000, 0.500, 0.000) and Pu at (0.000, 0.000, 0.500).

For the formation enthalpy at 0 K, the calculation gives 50 kJ/mol of formula units. The density of states at the Fermi level comes out at 47.67 states/eV/cell. As for the total energy: -127.928 eV per cell.

Entry 2:
Below is crystalline CaErAgTe3 at its relaxed geometry, with properties calculated at the PBE level.

The space group is P2_1/m (No. 11) and the conventional cell measures 8.463, 4.300 and 10.186 Å, with angles of 90.00, 103.38 and 90.00 degrees. Symmetry generates all atoms from Ca at (0.207, 0.250, 0.274), Er at (0.320, 0.750, 0.828), Ag at (0.084, 0.250, 0.586), Te at (0.074, 0.250, 0.859), Te at (0.280, 0.750, 0.522) and Te at (0.416, 0.750, 0.145).

The uncorrected formation energy is -1.14 eV per atom. As for the total energy: -51.420 eV per cell.

Entry 3:
Below is crystalline PmPuZn4 at its relaxed geometry, with properties calculated at the PBE level.

The space group is F-43m (No. 216) and the conventional cell measures 7.801, 7.801 and 7.801 Å, with angles of 90.00, 90.00 and 90.00 degrees. Symmetry generates all atoms from Pm at (0.000, 0.000, 0.000), Pu at (0.250, 0.250, 0.250) and Zn at (0.125, 0.125, 0.625).

For the formation enthalpy at 0 K, the calculation gives -122 kJ/mol of formula units. The density of states at the Fermi level comes out at 43.08 states/eV/cell. As for the total energy: -101.751 eV per cell.

Entry 4:
Below is crystalline KMo2As at its relaxed geometry, with properties calculated at the PBE level.

The space group is I-42d (No. 122) and the conventional cell measures 4.769, 4.769 and 18.445 Å, with angles of 90.00, 90.00 and 90.00 degrees. Symmetry generates all atoms from K at (0.000, 0.000, 0.000), Mo at (0.030, 0.750, 0.625) and As at (0.000, 0.000, 0.500).

For the formation enthalpy at 0 K, the calculation gives 367 kJ/mol of formula units. The density of states at the Fermi level comes out at 16.40 states/eV/cell. As for the total energy: -94.414 eV per cell.